(one)
Entry from Alexandria: a relaxed structure of NaGa2H8 (PBE-GGA).

Calculated values
DOS at the Fermi energy   0.021 states/eV/atom
Calculated density   2.1 g cm⁻³

Unit cell a=6.5521 b=6.5521 c=7.0862 alpha=106.98 beta=106.98 gamma=71.25
Element x y z (fractional)
Na (0.2392, 0.7608, 0.7500)
Na (0.7608, 0.2392, 0.2500)
Ga (0.2859, 0.2918, 0.8899)
Ga (0.2918, 0.2859, 0.3899)
Ga (0.7083, 0.7141, 0.6101)
Ga (0.7141, 0.7083, 0.1101)
H (0.1237, 0.1374, 0.8044)
H (0.1374, 0.1237, 0.3044)
H (0.1845, 0.5448, 0.4251)
H (0.1861, 0.5509, 0.9377)
H (0.3083, 0.3098, 0.1505)
H (0.3098, 0.3083, 0.6505)
H (0.4491, 0.8139, 0.5623)
H (0.4552, 0.8155, 0.0749)
H (0.5448, 0.1845, 0.9251)
H (0.5509, 0.1861, 0.4377)
H (0.6902, 0.6917, 0.3495)
H (0.6917, 0.6902, 0.8495)
H (0.8139, 0.4491, 0.0623)
H (0.8155, 0.4552, 0.5749)
H (0.8626, 0.8763, 0.6956)
H (0.8763, 0.8626, 0.1956)

(two)
Entry from Alexandria: a relaxed structure of NaGa2H8 (PBE-GGA).

Calculated values
DOS at the Fermi energy   0.078 states/eV/atom
Calculated density   2.3 g cm⁻³

Unit cell a=5.1023 b=5.1023 c=4.8723 alpha=97.31 beta=97.31 gamma=75.36
Element x y z (fractional)
Na (0.0000, 0.0000, 0.0000)
Ga (0.2543, 0.2543, 0.5172)
Ga (0.7457, 0.7457, 0.4828)
H (0.0868, 0.7616, 0.4718)
H (0.2384, 0.9132, 0.5282)
H (0.2721, 0.2721, 0.1965)
H (0.4043, 0.4043, 0.7612)
H (0.5957, 0.5957, 0.2388)
H (0.7279, 0.7279, 0.8035)
H (0.7616, 0.0868, 0.4718)
H (0.9132, 0.2384, 0.5282)

Least stable structure: (two)

(one)
Entry from Alexandria: a relaxed structure of NaGaH3 (PBE-GGA).

Calculated values
DOS at the Fermi energy   0.119 states/eV/atom
Calculated density   2.9 g cm⁻³

Unit cell a=3.8050 b=3.8050 c=3.8050 alpha=90.00 beta=90.00 gamma=90.00
Element x y z (fractional)
Na (0.0000, 0.0000, 0.0000)
Ga (0.5000, 0.5000, 0.5000)
H (0.0000, 0.5000, 0.5000)
H (0.5000, 0.0000, 0.5000)
H (0.5000, 0.5000, 0.0000)

(two)
Entry from Alexandria: a relaxed structure of NaGaH3 (PBE-GGA).

Calculated values
DOS at the Fermi energy   0.000 states/eV/atom
Calculated density   2.3 g cm⁻³

Unit cell a=5.9148 b=4.9965 c=9.9767 alpha=90.00 beta=106.58 gamma=90.00
Element x y z (fractional)
Na (0.2066, 0.1394, 0.1756)
Na (0.2066, 0.3606, 0.6756)
Na (0.7934, 0.6394, 0.3244)
Na (0.7934, 0.8606, 0.8244)
Ga (0.3401, 0.6402, 0.4269)
Ga (0.3401, 0.8598, 0.9269)
Ga (0.6599, 0.1402, 0.0731)
Ga (0.6599, 0.3598, 0.5731)
H (0.1548, 0.0174, 0.7990)
H (0.1548, 0.4826, 0.2990)
H (0.1619, 0.7367, 0.0071)
H (0.1619, 0.7633, 0.5071)
H (0.4360, 0.6201, 0.8494)
H (0.4360, 0.8799, 0.3494)
H (0.5640, 0.1201, 0.6506)
H (0.5640, 0.3799, 0.1506)
H (0.8381, 0.2367, 0.4929)
H (0.8381, 0.2633, 0.9929)
H (0.8452, 0.5174, 0.7010)
H (0.8452, 0.9826, 0.2010)

Least stable structure: (one)

(one)
Entry from Alexandria: a relaxed structure of NaGaH3 (PBE-GGA).

Calculated values
DOS at the Fermi energy   0.000 states/eV/atom
Calculated density   2.3 g cm⁻³

Unit cell a=4.6303 b=5.0042 c=6.4840 alpha=72.95 beta=74.56 gamma=86.53
Element x y z (fractional)
Na (0.0000, 0.0000, 0.0000)
Na (0.3974, 0.7546, 0.4839)
Ga (0.4838, 0.4631, 0.0411)
Ga (0.9235, 0.2303, 0.4553)
H (0.0764, 0.4763, 0.2307)
H (0.1390, 0.1812, 0.6174)
H (0.2776, 0.6476, 0.8581)
H (0.5157, 0.7589, 0.1183)
H (0.6033, 0.3233, 0.5628)
H (0.9072, 0.9375, 0.3998)

(two)
Entry from Alexandria: a relaxed structure of NaGaH3 (PBE-GGA).

Calculated values
DOS at the Fermi energy   0.365 states/eV/atom
Calculated density   2.6 g cm⁻³

Unit cell a=3.9162 b=3.9162 c=3.9162 alpha=90.00 beta=90.00 gamma=90.00
Element x y z (fractional)
Na (0.0000, 0.0000, 0.0000)
Ga (0.5000, 0.5000, 0.5000)
H (0.0000, 0.0000, 0.5000)
H (0.0000, 0.5000, 0.0000)
H (0.5000, 0.0000, 0.0000)

Least stable structure: (two)